Entry 1:
11
Lattice="10.003 -2.561 0.000 10.003 2.561 0.000 -1.734 0.000 6.829" Properties=species:S:1:pos:R:3 comment="Nd8PtPb2 | Alexandria | PBE | optimized geometry" m_tot_mub_per_fu=0.00 formation_energy_mev_per_atom=-412 space_group="No. 12" crystal_system=monoclinic pbc="T T T"
Nd -0.184 0.000 1.917
Nd 2.885 0.000 5.652
Nd 6.219 0.000 3.370
Nd 8.134 0.000 0.197
Nd 10.137 0.000 6.632
Nd 12.053 0.000 3.459
Nd 15.387 0.000 1.176
Nd 18.456 0.000 4.911
Pt 9.136 0.000 3.414
Pb 3.176 0.000 1.793
Pb 15.096 0.000 5.036



Entry 2:
3
Lattice="4.813 0.000 0.000 -2.406 4.168 0.000 0.000 0.000 3.720" Properties=species:S:1:pos:R:3 comment="NdPtPb | Alexandria | PBE | optimized geometry" m_tot_mub_per_fu=0.00 formation_energy_mev_per_atom=-737 space_group="No. 187" crystal_system=hexagonal pbc="T T T"
Nd 0.000 0.000 0.000
Pt 0.000 2.779 1.860
Pb 2.406 1.389 1.860



Entry 3:
3
Lattice="-1.796 1.796 5.863 1.796 -1.796 5.863 1.796 1.796 -5.863" Properties=species:S:1:pos:R:3 comment="NdPtPb | Alexandria | PBE | optimized geometry" m_tot_mub_per_fu=0.00 formation_energy_mev_per_atom=-594 space_group="No. 107" crystal_system=tetragonal pbc="T T T"
Nd 0.000 0.000 0.000
Pt 0.000 0.000 7.520
Pb 0.000 0.000 3.362



Entry 4:
4
Lattice="3.925 -2.258 0.000 3.925 2.258 0.000 -0.009 0.000 6.796" Properties=species:S:1:pos:R:3 comment="Nd2PtPb | Alexandria | PBE | optimized geometry" m_tot_mub_per_fu=0.00 formation_energy_mev_per_atom=-698 space_group="No. 12" crystal_system=monoclinic pbc="T T T"
Nd 1.309 0.000 1.463
Nd 6.532 0.000 5.333
Pt 3.925 0.000 0.000
Pb 3.920 0.000 3.398



Entry 5:
19
Lattice="-5.190 5.190 5.190 5.190 -5.190 5.190 5.190 5.190 -5.190" Properties=species:S:1:pos:R:3 comment="Nd12Pt6Pb | Alexandria | PBE | optimized geometry" m_tot_mub_per_fu=0.00 formation_energy_mev_per_atom=-772 space_group="No. 204" crystal_system=cubic pbc="T T T"
Nd 5.190 -2.030 3.316
Nd 3.160 1.874 0.000
Nd 7.220 1.874 0.000
Nd 3.316 5.190 -2.030
Nd 1.874 0.000 3.160
Nd 0.000 3.160 1.874
Nd 5.190 2.030 3.316
Nd 3.316 5.190 2.030
Nd 1.874 0.000 7.220
Nd -2.030 3.316 5.190
Nd 2.030 3.316 5.190
Nd 0.000 7.220 1.874
Pt 5.190 0.000 1.400
Pt 5.190 3.790 0.000
Pt 1.400 5.190 0.000
Pt 3.790 0.000 5.190
Pt 0.000 1.400 5.190
Pt 0.000 5.190 3.790
Pb 0.000 0.000 0.000



Entry 6:
4
Lattice="2.117 1.222 6.368 -2.117 1.222 6.368 0.000 -2.445 6.368" Properties=species:S:1:pos:R:3 comment="NdPt2Pb | Alexandria | PBE | optimized geometry" m_tot_mub_per_fu=0.00 formation_energy_mev_per_atom=-587 space_group="No. 166" crystal_system=trigonal pbc="T T T"
Nd 0.000 0.000 0.000
Pt 0.000 0.000 4.641
Pt 0.000 0.000 14.462
Pb 0.000 0.000 9.552



Entry 7:
4
Lattice="3.617 0.000 0.000 0.000 3.617 0.000 0.000 0.000 6.886" Properties=species:S:1:pos:R:3 comment="NdPt2Pb | Alexandria | PBE | optimized geometry" m_tot_mub_per_fu=0.00 formation_energy_mev_per_atom=-626 space_group="No. 123" crystal_system=tetragonal pbc="T T T"
Nd 0.000 0.000 0.000
Pt 1.809 1.809 1.692
Pt 1.809 1.809 5.195
Pb 0.000 0.000 3.443



Entry 8:
4
Lattice="1.832 1.058 10.265 -1.832 1.058 10.265 0.000 -2.116 10.265" Properties=species:S:1:pos:R:3 comment="NdPtPb2 | Alexandria | PBE | optimized geometry" m_tot_mub_per_fu=0.00 formation_energy_mev_per_atom=-7 space_group="No. 166" crystal_system=trigonal pbc="T T T"
Nd 0.000 0.000 0.000
Pt 0.000 0.000 15.397
Pb 0.000 0.000 3.251
Pb 0.000 0.000 27.543